Record 1
The following is a DFT calculation (PBE) of a geometry-optimized CePaZnHg structure.

Lattice parameters (Å, degrees): 5.2234 5.2234 5.2234 60.00 60.00 60.00
Fractional positions:
Zn 0.2500 0.2500 0.2500
Pa 0.0000 0.0000 0.0000
Hg 0.7500 0.7500 0.7500
Ce 0.5000 0.5000 0.5000

Output
**Space group**: F-43m



Record 2
The following is a DFT calculation (PBE) of a geometry-optimized Rb3Sm2ScO6 structure.

Lattice parameters (Å, degrees): 6.0712 6.0712 6.8545 98.47 98.47 120.01
Fractional positions:
Rb 0.1644 0.8356 0.5000
Rb 0.8356 0.1644 0.5000
Rb 0.5000 0.5000 0.5000
Sm 0.3333 0.6667 0.0000
Sm 0.6667 0.3333 0.0000
Sc 0.0000 0.0000 0.0000
O 0.9418 0.6287 0.8252
O 0.7450 0.7450 0.1750
O 0.0582 0.3713 0.1748
O 0.6287 0.9418 0.8252
O 0.2550 0.2550 0.8250
O 0.3713 0.0582 0.1748

Output
**Space group**: C2/m



Going through the records in order, we get M_tot values of 3.0, 0.0 Bohr magnetons per cell.
Going through the records in order, we get energy values of -0.3067, -0.4878 Ry/atom.